A relaxed Ba6Sr2CoCu7O24 crystal. Source: Alexandria, functional PBE with a Hubbard U.

abc: 7.959 11.266 11.258
angles: 90.00 90.00 90.00
Space group Amm2 (No. 38)
One atom of each set of equivalent atoms:
Ba (0.249, 0.000, 0.000) x4
Ba (0.249, 0.249, 0.249) x8
Sr (0.247, 0.000, 0.497) x4
Co (0.500, 0.000, 0.744) x2
Cu (0.000, 0.000, 0.249) x2
Cu (0.000, 0.000, 0.749) x2
Cu (0.000, 0.250, 0.499) x4
Cu (0.500, 0.000, 0.249) x2
Cu (0.500, 0.250, 0.499) x4
O (0.000, 0.118, 0.618) x4
O (0.000, 0.119, 0.381) x4
O (0.000, 0.126, 0.125) x4
O (0.000, 0.126, 0.872) x4
O (0.250, 0.000, 0.258) x4
O (0.251, 0.241, 0.499) x8
O (0.257, 0.000, 0.744) x4
O (0.500, 0.119, 0.381) x4
O (0.500, 0.119, 0.623) x4
O (0.500, 0.123, 0.870) x4
O (0.500, 0.126, 0.124) x4

The calculated total energy is -5.48 eV per atom. The magnetic moment is 9.3 μB/f.u.